# 1
Li5Mn2CoO8 (GGA+U, optimized geometry); V = 8.91 A^3/atom; energy above the most stable polymorph in this dataset = 67.5 meV per atom; space group = Cm (8)
1.0
9.720 -1.434 0.000
9.720 1.434 0.000
-0.478 0.000 5.116
Li Mn Co O
5 2 1 8
Direct
0.000 0.000 0.000 Li
0.117 0.117 0.386 Li
0.239 0.239 0.772 Li
0.504 0.504 0.484 Li
0.729 0.729 0.293 Li
0.619 0.619 0.887 Mn
0.869 0.869 0.619 Mn
0.369 0.369 0.121 Co
0.063 0.063 0.714 O
0.175 0.175 0.061 O
0.312 0.312 0.458 O
0.425 0.425 0.778 O
0.559 0.559 0.167 O
0.677 0.677 0.606 O
0.816 0.816 0.924 O
0.923 0.923 0.317 O

---

# 2
K2NiGeO4 (GGA+U, optimized geometry); uncorrected energy = -5.1578 eV per atom; V = 22.95 A^3/atom; space group = Fddd (70)
1.0
0.000 6.618 10.311
2.690 0.000 10.311
2.690 6.618 0.000
K Ni Ge O
4 2 2 8
Direct
0.030 0.030 0.720 K
0.280 0.280 0.970 K
0.720 0.720 0.030 K
0.970 0.970 0.280 K
0.125 0.125 0.125 Ni
0.875 0.875 0.875 Ni
0.375 0.375 0.375 Ge
0.625 0.625 0.625 Ge
0.130 0.714 0.484 O
0.171 0.484 0.714 O
0.286 0.870 0.829 O
0.484 0.171 0.130 O
0.516 0.829 0.870 O
0.714 0.130 0.171 O
0.829 0.516 0.286 O
0.870 0.286 0.516 O

---

Among the records above, which one has the highest V? K2NiGeO4